Below is a relaxed structure of LuZrOsPt, with properties calculated at the PBE level.

Computed properties:
Theoretical density ... 14.4 Mg/m³
Total DFT energy (no corrections) ... -8.32 eV/atom
Energy of formation from the pure elements ... -0.7378 eV per atom
Magnetic moment ... 0.000 μB/atom

Unit cell a=6.6971 b=6.6971 c=6.6971 alpha=90.00 beta=90.00 gamma=90.00
Space group F-43m (No. 216)
Unique sites:
Lu1 0.0000 0.0000 0.0000
Zr1 0.0000 0.0000 0.5000
Os1 0.2500 0.2500 0.7500
Pt1 0.2500 0.2500 0.2500